Record 1
{"formula": "Nd12Y7Sc", "functional": "PBE", "state": "optimized geometry", "cell": [[7.632, 4.407, 3.353], [-7.632, 4.407, 3.353], [0.000, -8.813, 3.353]], "species": ["Nd", "Nd", "Nd", "Nd", "Nd", "Nd", "Nd", "Nd", "Nd", "Nd", "Nd", "Nd", "Y", "Y", "Y", "Y", "Y", "Y", "Y", "Sc"], "frac_coords": [[0.069, 0.804, 0.280], [0.128, 0.210, 0.443], [0.196, 0.720, 0.931], [0.210, 0.443, 0.128], [0.280, 0.069, 0.804], [0.443, 0.128, 0.210], [0.557, 0.872, 0.790], [0.720, 0.931, 0.196], [0.790, 0.557, 0.872], [0.804, 0.280, 0.069], [0.872, 0.790, 0.557], [0.931, 0.196, 0.720], [0.000, 0.000, 0.000], [0.179, 0.618, 0.502], [0.382, 0.498, 0.821], [0.498, 0.821, 0.382], [0.502, 0.179, 0.618], [0.618, 0.502, 0.179], [0.821, 0.382, 0.498], [0.500, 0.500, 0.500]], "magmom_total_mub_per_cell": 0.00, "crystal_system": "trigonal", "spacegroup": "R-3", "dft_energy_ev_per_cell": -105.74, "polymorph_energy_ev_per_atom": 0.000, "formation_energy_ev_per_atom": 0.1527}

***

Record 2
{"formula": "KHg2Br", "functional": "PBE", "state": "optimized geometry", "cell": [[0.000, 4.150, 4.150], [4.150, 0.000, 4.150], [4.150, 4.150, 0.000]], "species": ["K", "Hg", "Hg", "Br"], "frac_coords": [[0.000, 0.000, 0.000], [0.250, 0.250, 0.250], [0.750, 0.750, 0.750], [0.500, 0.500, 0.500]], "raw_formation_energy_ev_per_atom": -0.610, "magmom_total_mub_per_cell": 0.00, "crystal_system": "cubic", "spacegroup": "Fm-3m", "dft_energy_ev_per_cell": -5.81, "polymorph_energy_ev_per_atom": 0.161}

***

Record 3
{"formula": "BaAlSe2N", "functional": "PBE", "state": "optimized geometry", "cell": [[6.205, 0.000, 0.000], [0.000, 6.205, 0.000], [0.000, 0.000, 5.272]], "species": ["Ba", "Al", "Se", "Se", "N"], "frac_coords": [[0.000, 0.000, 0.000], [0.500, 0.500, 0.500], [0.000, 0.500, 0.000], [0.500, 0.000, 0.000], [0.000, 0.000, 0.500]], "raw_formation_energy_ev_per_atom": 0.867, "magmom_total_mub_per_cell": 4.00, "crystal_system": "tetragonal", "spacegroup": "P4/mmm", "dft_energy_ev_per_cell": -16.62, "polymorph_energy_ev_per_atom": 1.507}

***

Record 4
{"formula": "Fe2SeS", "functional": "PBE", "state": "optimized geometry", "cell": [[3.634, 0.000, 0.000], [-1.817, 3.147, 0.000], [0.000, 0.000, 5.134]], "species": ["Fe", "Fe", "Se", "S"], "frac_coords": [[0.000, 0.000, 0.228], [0.000, 0.000, 0.772], [0.333, 0.667, 0.500], [0.667, 0.333, 0.000]], "raw_formation_energy_ev_per_atom": -0.124, "magmom_total_mub_per_cell": 4.29, "crystal_system": "hexagonal", "spacegroup": "P-6m2", "dft_energy_ev_per_cell": -25.03, "polymorph_energy_ev_per_atom": 0.278}